(1)
# MnAlRu2 PBE-GGA optimized geometry
# - Total energy: -7.733 eV per atom
# - Energy of formation from the pure elements: 0.133 eV per atom
data_MnAlRu2
_chemical_formula_sum 'Mn1 Al1 Ru2'
_cell_length_a 2.6950
_cell_length_b 2.6950
_cell_length_c 8.5311
_cell_angle_alpha 90.00
_cell_angle_beta 90.00
_cell_angle_gamma 115.48
_space_group_name_H-M_alt 'P 1'
_space_group_IT_number 1
loop_
_space_group_symop_operation_xyz
'x,y,z'
loop_
_atom_site_label
_atom_site_type_symbol
_atom_site_fract_x
_atom_site_fract_y
_atom_site_fract_z
_atom_site_occupancy
Mn1 Mn 0.5000 0.5000 0.7489 1
Al1 Al 0.0000 0.0000 0.5003 1
Ru1 Ru 0.0000 0.0000 0.9924 1
Ru2 Ru 0.5000 0.5000 0.2584 1

***

(2)
# MnAl4Ru3 PBE-GGA optimized geometry
# - Total energy: -7.098 eV per atom
# - Energy of formation from the pure elements: -0.602 eV per atom
data_MnAl4Ru3
_chemical_formula_sum 'Mn1 Al4 Ru3'
_cell_length_a 4.2680
_cell_length_b 4.2680
_cell_length_c 6.7028
_cell_angle_alpha 108.53
_cell_angle_beta 108.56
_cell_angle_gamma 90.00
_space_group_name_H-M_alt 'P 1'
_space_group_IT_number 1
loop_
_space_group_symop_operation_xyz
'x,y,z'
loop_
_atom_site_label
_atom_site_type_symbol
_atom_site_fract_x
_atom_site_fract_y
_atom_site_fract_z
_atom_site_occupancy
Al1 Al 0.1301 0.1303 0.2602 1
Al2 Al 0.8699 0.8697 0.7398 1
Al3 Al 0.3699 0.3701 0.7398 1
Al4 Al 0.6301 0.6299 0.2602 1
Mn1 Mn 0.5000 0.0000 0.0000 1
Ru1 Ru 0.7452 0.2451 0.4904 1
Ru2 Ru 0.2548 0.7549 0.5096 1
Ru3 Ru 0.0000 0.5000 0.0000 1

***

(3)
# MnAl2Ru PBE-GGA optimized geometry
# - Total energy: -6.957 eV per atom
# - Energy of formation from the pure elements: -0.474 eV per atom
data_MnAl2Ru
_chemical_formula_sum 'Mn1 Al2 Ru1'
_cell_length_a 4.1891
_cell_length_b 4.1892
_cell_length_c 3.0684
_cell_angle_alpha 90.00
_cell_angle_beta 90.00
_cell_angle_gamma 90.00
_space_group_name_H-M_alt 'P 1'
_space_group_IT_number 1
loop_
_space_group_symop_operation_xyz
'x,y,z'
loop_
_atom_site_label
_atom_site_type_symbol
_atom_site_fract_x
_atom_site_fract_y
_atom_site_fract_z
_atom_site_occupancy
Al1 Al 0.0000 0.0000 0.0000 1
Al2 Al 0.5000 0.5000 0.0000 1
Mn1 Mn 0.5000 0.0000 0.5000 1
Ru1 Ru 0.0000 0.5000 0.5000 1

***

> Which of these has the highest energy of formation from the pure elements?

MnAlRu2